Below is ScCd4P after structural relaxation, with properties calculated at the GGA-PBE level.

a b c (Å): 5.7333 5.7333 5.7333
angles (deg): 60.00 60.00 60.00
Element x y z (fractional)
Cd1 0.3748 0.3748 0.8755
P1 0.7500 0.7500 0.7500
Cd2 0.3748 0.8755 0.3748
Cd3 0.3748 0.3748 0.3748
Sc1 0.0000 0.0000 0.0000
Cd4 0.8755 0.3748 0.3748

Results
D(E_F), states/eV/atom: 0.708
ΔH_f (0 K), meV/atom: 210

Below is LaSmSn6 after structural relaxation, with properties calculated at the GGA-PBE level.

a b c (Å): 4.8085 4.8085 9.4371
angles (deg): 90.00 90.00 90.00
Element x y z (fractional)
Sn1 0.0000 0.5000 0.7464
Sn2 0.5000 0.0000 0.7464
Sn3 0.5000 0.5000 0.0000
Sn4 0.0000 0.5000 0.2536
Sn5 0.5000 0.0000 0.2536
Sm1 0.0000 0.0000 0.5000
La1 0.0000 0.0000 0.0000
Sn6 0.5000 0.5000 0.5000

Results
D(E_F), states/eV/atom: 0.672
ΔH_f (0 K), meV/atom: -528

Below is RbLiSn after structural relaxation, with properties calculated at the GGA-PBE level.

a b c (Å): 3.5165 5.6510 5.6510
angles (deg): 120.00 90.00 90.00
Element x y z (fractional)
Li1 0.1646 0.3333 0.6667
Sn1 0.1681 0.0000 0.0000
Rb1 0.6673 0.6667 0.3333

Results
D(E_F), states/eV/atom: 0.867
Relative energy among the computed polymorphs, meV/atom: 235.3
ΔH_f (0 K), meV/atom: -3

Below is ReSnIN2 after structural relaxation, with properties calculated at the GGA-PBE level.

a b c (Å): 4.0813 4.0813 5.5688
angles (deg): 90.00 90.00 90.00
Element x y z (fractional)
N1 0.5000 0.0000 0.0000
N2 0.0000 0.5000 0.0000
I1 0.0000 0.0000 0.5000
Re1 0.0000 0.0000 0.0000
Sn1 0.5000 0.5000 0.5000

Results
D(E_F), states/eV/atom: 0.574
Relative energy among the computed polymorphs, meV/atom: 0.0
Raw formation energy, eV per atom: 0.899

Per-record magnetic moment, μB per atom: 0.000, 0.000, 0.000, 0.046